Density functional theory data (PBE) for a relaxed Li2Ac8Co3 crystal.

abc: 7.1592 8.0546 9.7345
angles: 114.44 109.76 90.00
Closest atoms and distances in Å follow each position.
Positions (direct):
1 Li 0.9602 0.7551 0.5103  6 Ac 3.38-3.72
2 Li 0.0398 0.2449 0.4897  6 Ac 3.38-3.72
3 Ac 0.2792 0.6304 0.2608  2 Co 2.91
4 Ac 0.2558 0.0949 0.1897  3 Co 2.84-3.13
5 Ac 0.2410 0.1760 0.8266  2 Co 2.72-2.86
6 Ac 0.7590 0.3494 0.1734  2 Co 2.72-2.86
7 Ac 0.2410 0.6506 0.8266  2 Co 2.72-2.86
8 Ac 0.7590 0.8240 0.1734  2 Co 2.72-2.86
9 Ac 0.7442 0.9051 0.8103  3 Co 2.84-3.13
10 Ac 0.7208 0.3696 0.7392  2 Co 2.91
11 Co 0.5000 0.0000 0.0000  6 Ac 2.84-2.86
12 Co 0.0000 0.6990 0.0000  4 Ac 2.72-2.91
13 Co 0.0000 0.3010 0.0000  4 Ac 2.72-2.91

Calculated values
**Crystal system**: monoclinic
**Energy**: -4.40 eV per atom
**Space-group type**: C2/m (12)
**DFT formation energy**: 6.46 kJ/mol of atoms

Density functional theory data (PBE) for a relaxed Zr2TiRh crystal.

abc: 3.1632 3.1632 9.1711
angles: 80.07 80.07 60.00
Closest atoms and distances in Å follow each position.
Positions (direct):
1 Ti 0.4995 0.4995 0.5014  6 Zr 2.99-3.01, 6 Ti 3.16
2 Rh 0.6672 0.6672 0.9984  6 Zr 2.78-2.81
3 Zr 0.0784 0.0784 0.7647  3 Rh 2.78, 3 Ti 2.99
4 Zr 0.2548 0.2548 0.2356  3 Rh 2.81, 3 Ti 3.01

Calculated values
**Crystal system**: trigonal
**Energy**: -8.25 eV per atom
**Space-group type**: R3m (160)
**DFT formation energy**: -16.13 kJ/mol of atoms

Density functional theory data (PBE) for a relaxed Pr4DyEr2Mg crystal.

abc: 5.7986 5.8008 9.7000
angles: 53.29 90.00 90.00
Closest atoms and distances in Å follow each position.
Positions (direct):
1 Mg 0.0000 0.4999 0.5001  8 Pr 3.44-3.45
2 Dy 0.5000 0.5002 0.9998  8 Pr 3.53-3.54, 2 Er 3.89
3 Pr 0.5000 0.2610 0.7391  2 Mg 3.44, 4 Er 3.44-3.54, 2 Dy 3.54, 1 Pr 3.72
4 Pr 0.0000 0.2401 0.2599  4 Er 3.45-3.54, 2 Mg 3.45, 2 Dy 3.53, 1 Pr 3.73
5 Pr 0.0000 0.7599 0.7402  4 Er 3.45-3.53, 2 Mg 3.45, 2 Dy 3.53, 1 Pr 3.73
6 Pr 0.5000 0.7389 0.2609  4 Er 3.44-3.54, 2 Mg 3.44, 2 Dy 3.54, 1 Pr 3.72
7 Er 0.5001 0.0000 0.5001  8 Pr 3.44-3.45
8 Er 0.0000 0.0001 0.9999  8 Pr 3.53-3.54, 2 Mg 3.89

Calculated values
**Crystal system**: orthorhombic
**Energy**: -4.26 eV per atom
**Space-group type**: Pmmm (47)
**DFT formation energy**: 4.10 kJ/mol of atoms

Density functional theory data (PBE) for a relaxed MgTe crystal.

abc: 3.3100 3.3100 10.4657
angles: 90.00 90.00 98.90
Closest atoms and distances in Å follow each position.
Positions (direct):
1 Mg 0.0000 0.0000 0.9869  4 Te 3.02-3.29, 6 Mg 3.18-3.31
2 Mg 0.5000 0.5000 0.7631  4 Te 3.02-3.29, 6 Mg 3.18-3.31
3 Te 0.5000 0.5000 0.1896  4 Mg 3.02-3.29, 4 Te 3.31
4 Te 0.0000 0.0000 0.5604  4 Mg 3.02-3.29, 4 Te 3.31

Calculated values
**Crystal system**: orthorhombic
**Energy**: -2.52 eV per atom
**Space-group type**: Cmme (67)
**Uncorrected formation energy**: -155 meV/atom